1.
# PmCdAg3 | Alexandria via LeMat-Bulk | PBE | optimized geometry
data_PmCdAg3
_cell_length_a 5.938
_cell_length_b 13.741
_cell_length_c 5.507
_cell_angle_alpha 90.00
_cell_angle_beta 90.00
_cell_angle_gamma 90.00
_space_group_name_H-M_alt 'C 2 2 21'
_space_group_IT_number 20
loop_
_space_group_symop_operation_xyz
'x,y,z'
'-x,-y,z+1/2'
'x,-y,-z'
'-x,y,-z+1/2'
'x+1/2,y+1/2,z'
'-x+1/2,-y+1/2,z+1/2'
'x+1/2,-y+1/2,-z'
'-x+1/2,y+1/2,-z+1/2'
loop_
_atom_site_label
_atom_site_fract_x
_atom_site_fract_y
_atom_site_fract_z
_atom_site_occupancy
Pm1 0.000 0.116 0.250 1
Cd1 0.002 0.500 0.000 1
Ag1 0.000 0.315 0.750 1
Ag2 0.247 0.351 0.251 1
# ΔH_f (0 K), eV per atom: -0.137
# Excess energy over the best structure of this formula in the dataset, meV/atom: 60
# DOS(E_F), states/eV per atom: 0.505

2.
# NbZnRu3 | Alexandria via LeMat-Bulk | PBE | optimized geometry
data_NbZnRu3
_cell_length_a 6.698
_cell_length_b 10.204
_cell_length_c 4.717
_cell_angle_alpha 90.00
_cell_angle_beta 90.00
_cell_angle_gamma 90.00
_space_group_name_H-M_alt 'C m c m'
_space_group_IT_number 63
_space_group_name_Hall '-C 2c 2'
loop_
_atom_site_label
_atom_site_fract_x
_atom_site_fract_y
_atom_site_fract_z
_atom_site_occupancy
Nb1 0.000 0.173 0.250 1
Zn1 0.000 0.500 0.000 1
Ru1 0.000 0.288 0.750 1
Ru2 0.190 0.068 0.750 1
# ΔH_f (0 K), eV per atom: 0.419
# Excess energy over the best structure of this formula in the dataset, meV/atom: 0
# DOS(E_F), states/eV per atom: 1.169

3.
# LiBiI2 | Alexandria via LeMat-Bulk | PBE | optimized geometry
data_LiBiI2
_cell_length_a 4.0358
_cell_length_b 4.0358
_cell_length_c 28.5725
_cell_angle_alpha 90.00
_cell_angle_beta 90.00
_cell_angle_gamma 120.00
_space_group_name_H-M_alt 'R -3 m'
_space_group_IT_number 166
_space_group_name_Hall '-R 3 2"'
loop_
_atom_site_label
_atom_site_fract_x
_atom_site_fract_y
_atom_site_fract_z
_atom_site_occupancy
Li1 0.0000 0.0000 0.0000 1
Bi1 0.0000 0.0000 0.5000 1
I1 0.0000 0.0000 0.3930 1
# Excess energy over the best structure of this formula in the dataset, meV/atom: 0
# Energy relative to the elements, uncorrected, eV per atom: -0.57
# DOS(E_F), states/eV per atom: 0.120

4.
# Co5Mo3 | Alexandria via LeMat-Bulk | PBE | optimized geometry
data_Co5Mo3
_cell_length_a 11.350
_cell_length_b 8.048
_cell_length_c 4.588
_cell_angle_alpha 90.00
_cell_angle_beta 90.00
_cell_angle_gamma 90.00
_space_group_name_H-M_alt 'C m c m'
_space_group_IT_number 63
_space_group_name_Hall '-C 2c 2'
loop_
_atom_site_label
_atom_site_fract_x
_atom_site_fract_y
_atom_site_fract_z
_atom_site_occupancy
Co1 0.000 0.142 0.250 1
Co2 0.112 0.106 0.750 1
Co3 0.203 0.500 0.000 1
Mo1 0.000 0.411 0.750 1
Mo2 0.187 0.227 0.250 1
# ΔH_f (0 K), eV per atom: 0.313
# Excess energy over the best structure of this formula in the dataset, meV/atom: 256
# DOS(E_F), states/eV per atom: 1.229

5.
# Rb2AgGeBr6 | Alexandria via LeMat-Bulk | PBE | optimized geometry
data_Rb2AgGeBr6
_cell_length_a 7.717
_cell_length_b 7.717
_cell_length_c 10.979
_cell_angle_alpha 90.00
_cell_angle_beta 90.00
_cell_angle_gamma 90.00
_space_group_name_H-M_alt 'I 4/m m m'
_space_group_IT_number 139
_space_group_name_Hall '-I 4 2'
loop_
_atom_site_label
_atom_site_fract_x
_atom_site_fract_y
_atom_site_fract_z
_atom_site_occupancy
Rb1 0.000 0.500 0.250 1
Ag1 0.000 0.000 0.000 1
Ge1 0.000 0.000 0.500 1
Br1 0.000 0.000 0.256 1
Br2 0.245 0.245 0.500 1
# Energy relative to the elements, uncorrected, eV per atom: -0.99
# DOS(E_F), states/eV per atom: 0.181

6.
# ScOs3F | Alexandria via LeMat-Bulk | PBE | optimized geometry
data_ScOs3F
_cell_length_a 4.260
_cell_length_b 4.260
_cell_length_c 4.260
_cell_angle_alpha 90.00
_cell_angle_beta 90.00
_cell_angle_gamma 90.00
_space_group_name_H-M_alt 'P m -3 m'
_space_group_IT_number 221
_space_group_name_Hall '-P 4 2 3'
loop_
_atom_site_label
_atom_site_fract_x
_atom_site_fract_y
_atom_site_fract_z
_atom_site_occupancy
Sc1 0.000 0.000 0.000 1
Os1 0.000 0.500 0.500 1
F1 0.500 0.500 0.500 1
# Excess energy over the best structure of this formula in the dataset, meV/atom: 0
# Energy relative to the elements, uncorrected, eV per atom: 1.02
# DOS(E_F), states/eV per atom: 1.180

7.
# Cs2AlTlCl5 | Alexandria via LeMat-Bulk | PBE | optimized geometry
data_Cs2AlTlCl5
_cell_length_a 7.808
_cell_length_b 7.808
_cell_length_c 9.508
_cell_angle_alpha 90.00
_cell_angle_beta 90.00
_cell_angle_gamma 90.00
_space_group_name_H-M_alt 'I 4 m m'
_space_group_IT_number 107
_space_group_name_Hall 'I 4 -2'
loop_
_atom_site_label
_atom_site_fract_x
_atom_site_fract_y
_atom_site_fract_z
_atom_site_occupancy
Cs1 0.000 0.500 0.000 1
Al1 0.000 0.000 0.243 1
Tl1 0.000 0.000 0.654 1
Cl1 0.000 0.000 0.007 1
Cl2 0.219 0.219 0.260 1
# Energy relative to the elements, uncorrected, eV per atom: -1.46
# DOS(E_F), states/eV per atom: 0.096

8.
# CdCoI2 | Alexandria via LeMat-Bulk | PBE | optimized geometry
data_CdCoI2
_cell_length_a 7.627
_cell_length_b 7.627
_cell_length_c 9.598
_cell_angle_alpha 90.00
_cell_angle_beta 90.00
_cell_angle_gamma 90.00
_space_group_name_H-M_alt 'I -4 2 d'
_space_group_IT_number 122
_space_group_name_Hall 'I -4 2bw'
loop_
_atom_site_label
_atom_site_fract_x
_atom_site_fract_y
_atom_site_fract_z
_atom_site_occupancy
Cd1 0.000 0.000 0.000 1
Co1 0.000 0.000 0.500 1
I1 0.163 0.250 0.625 1
# Excess energy over the best structure of this formula in the dataset, meV/atom: 0
# Energy relative to the elements, uncorrected, eV per atom: 0.17
# DOS(E_F), states/eV per atom: 1.177